The following is a PBE with a Hubbard U calculation of crystalline CrBrF3 at its relaxed geometry, from Alexandria via LeMat-Bulk.

Summary:
The magnetization comes out at 0.96 μB/atom. The value obtained for the total DFT energy (no corrections) is -0.254 Ry per atom. The calculation puts the offset from the most stable computed form at 1.112 eV per atom.

Unit cell a=4.5382 b=4.5382 c=4.5382 alpha=90.00 beta=90.00 gamma=90.00
Closest atoms and distances in Å follow each position.
Atoms (fractional coordinates):
Cr  0.5000  0.5000  0.5000  12 F 3.21
Br  0.0000  0.0000  0.0000  6 F 2.27
F  0.0000  0.5000  0.0000  2 Br 2.27
F  0.0000  0.0000  0.5000  2 Br 2.27
F  0.5000  0.0000  0.0000  2 Br 2.27